Record 1
# CoSe2Br

CoSe2Br after structural relaxation (PBE, the Alexandria database).

Cell and atoms, written as POSCAR:
```
CoSe2Br
1.0
2.741 0.000 0.000
0.000 3.159 0.000
0.000 0.000 10.138
Co Se Br
1 2 1
direct
0.000 0.000 0.000 Co
0.500 0.500 0.149 Se
0.500 0.500 0.851 Se
0.000 0.000 0.500 Br
```

Computed properties:
Calculated total energy ... -3.815 eV per atom
Total moment ... 0.6 μB per cell
DOS at the Fermi energy ... 2.902 states/eV/cell
Symmetry ... Pmmm

---

Record 2
# TlHg2P

TlHg2P after structural relaxation (PBE, the Alexandria database).

Cell and atoms, written as POSCAR:
```
TlHg2P
1.0
3.674 0.000 0.000
0.000 4.931 0.000
0.000 0.000 5.450
Tl Hg P
1 2 1
direct
0.000 0.000 0.000 Tl
0.000 0.500 0.500 Hg
0.500 0.500 0.000 Hg
0.500 0.000 0.500 P
```

Computed properties:
Calculated total energy ... -1.735 eV per atom
DFT formation energy ... 1.4 eV per formula unit
Total moment ... 0.0 μB per cell
DOS at the Fermi energy ... 1.167 states/eV/cell
Symmetry ... Pmmm

---

Record 3
# Pm8Bi5Sb

Pm8Bi5Sb after structural relaxation (PBE, the Alexandria database).

Cell and atoms, written as POSCAR:
```
Pm8Bi5Sb
1.0
-4.793 4.793 4.807
4.793 -4.793 4.807
4.793 4.793 -4.807
Pm Bi Sb
8 5 1
direct
0.023 0.129 0.753 Pm
0.237 0.481 0.612 Pm
0.375 0.763 0.244 Pm
0.377 0.270 0.247 Pm
0.519 0.131 0.756 Pm
0.730 0.977 0.106 Pm
0.869 0.625 0.388 Pm
0.871 0.623 0.894 Pm
0.000 0.374 0.128 Bi
0.128 0.000 0.374 Bi
0.246 0.872 0.872 Bi
0.626 0.754 0.626 Bi
0.750 0.250 0.500 Bi
0.500 0.500 0.000 Sb
```

Computed properties:
Calculated total energy ... -5.258 eV per atom
Total moment ... 0.0 μB per cell
DOS at the Fermi energy ... 15.823 states/eV/cell
Symmetry ... I-4

---

Record 4
# CrGeSe4

CrGeSe4 after structural relaxation (PBE, the Alexandria database).

Cell and atoms, written as POSCAR:
```
CrGeSe4
1.0
5.580 0.000 0.000
0.000 5.580 0.000
0.000 0.000 10.362
Cr Ge Se
2 2 8
direct
0.000 0.000 0.000 Cr
0.000 0.000 0.500 Cr
0.000 0.500 0.250 Ge
0.500 0.000 0.750 Ge
0.248 0.254 0.885 Se
0.248 0.746 0.615 Se
0.254 0.248 0.385 Se
0.254 0.752 0.115 Se
0.746 0.248 0.115 Se
0.746 0.752 0.385 Se
0.752 0.254 0.615 Se
0.752 0.746 0.885 Se
```

Computed properties:
Calculated total energy ... -4.884 eV per atom
Total moment ... 3.4 μB per cell
DOS at the Fermi energy ... 4.673 states/eV/cell
Symmetry ... P-42c

---

Question: What is the DOS at the Fermi energy in the third record?
Answer: 15.823 states/eV/cell

---

Question: What is the DOS at the Fermi energy in the fourth record?
Answer: 4.673 states/eV/cell